First-principles (PBE) data for crystalline PrGdCo2 at its relaxed geometry, as listed in Alexandria.

Results
The energy above the lowest structure with this stoichiometry comes out at 0 meV per atom. As for the energy of formation from the pure elements: 0.00 eV/f.u. As for the crystal system: cubic. Its magnetization is 6.2 μB per cell. Its space group is Fm-3m. As for the density: 8.50 g cm⁻³.

Lattice parameters (Å, degrees): 4.8629 4.8629 4.8629 60.00 60.00 60.00
Site moments in Bohr magnetons follow the coordinates.
Element x y z (fractional)
Co  0.2500  0.2500  0.2500  0.85
Pr  0.5000  0.5000  0.5000  -0.18
Gd  0.0000  0.0000  0.0000  -7.21
Co  0.7500  0.7500  0.7500  0.85